(1)
# TiRuSe2 (PBEsol, optimized geometry)
data_TiRuSe2
_chemical_formula_sum 'Ti2 Ru2 Se4'
_space_group_name_H-M_alt 'P 1'
_space_group_IT_number 1
_space_group_name_Hall 'P 1'
_cell_length_a 5.5420
_cell_length_b 5.5420
_cell_length_c 6.8156
_cell_angle_alpha 113.99
_cell_angle_beta 113.99
_cell_angle_gamma 90.00
loop_
_atom_site_label
_atom_site_type_symbol
_atom_site_fract_x
_atom_site_fract_y
_atom_site_fract_z
Ru1 Ru 0.2500 0.7500 0.5000
Ru2 Ru 0.0000 0.0000 0.0000
Se1 Se 0.8860 0.3750 0.2500
Se2 Se 0.3640 0.8750 0.2500
Se3 Se 0.6250 0.6360 0.7500
Se4 Se 0.1250 0.1140 0.7500
Ti1 Ti 0.7500 0.2500 0.5000
Ti2 Ti 0.5000 0.5000 0.0000
# VASP energy: -6.749 eV/atom

***

(2)
# TiZnRu2Se (PBEsol, optimized geometry)
data_TiZnRu2Se
_chemical_formula_sum 'Ti1 Zn1 Ru2 Se1'
_space_group_name_H-M_alt 'P 1'
_space_group_IT_number 1
_space_group_name_Hall 'P 1'
_cell_length_a 4.4611
_cell_length_b 4.4611
_cell_length_c 4.5181
_cell_angle_alpha 90.00
_cell_angle_beta 90.00
_cell_angle_gamma 90.00
loop_
_atom_site_label
_atom_site_type_symbol
_atom_site_fract_x
_atom_site_fract_y
_atom_site_fract_z
Ru1 Ru 0.0000 0.5000 0.0000
Ru2 Ru 0.5000 0.0000 0.0000
Zn1 Zn 0.5000 0.5000 0.5000
Se1 Se 0.0000 0.0000 0.0000
Ti1 Ti 0.0000 0.0000 0.5000
# VASP energy: -6.156 eV/atom

***

Q: The highest VASP energy belongs to which entry?
A: TiZnRu2Se

***

Repeat the first record exactly.
# TiRuSe2 (PBEsol, optimized geometry)
data_TiRuSe2
_chemical_formula_sum 'Ti2 Ru2 Se4'
_space_group_name_H-M_alt 'P 1'
_space_group_IT_number 1
_space_group_name_Hall 'P 1'
_cell_length_a 5.5420
_cell_length_b 5.5420
_cell_length_c 6.8156
_cell_angle_alpha 113.99
_cell_angle_beta 113.99
_cell_angle_gamma 90.00
loop_
_atom_site_label
_atom_site_type_symbol
_atom_site_fract_x
_atom_site_fract_y
_atom_site_fract_z
Ru1 Ru 0.2500 0.7500 0.5000
Ru2 Ru 0.0000 0.0000 0.0000
Se1 Se 0.8860 0.3750 0.2500
Se2 Se 0.3640 0.8750 0.2500
Se3 Se 0.6250 0.6360 0.7500
Se4 Se 0.1250 0.1140 0.7500
Ti1 Ti 0.7500 0.2500 0.5000
Ti2 Ti 0.5000 0.5000 0.0000
# VASP energy: -6.749 eV/atom

***

Q: What is the VASP energy in the first record?
A: -6.749 eV/atom

***

Q: VASP energy of number 2 (TiZnRu2Se)?
A: -6.156 eV/atom